1.
# HgGePd2 | the Alexandria database | PBE | relaxed
# E above lowest polymorph	0.051	eV per atom
# ρ	10.72	g/cm3
# formation enthalpy at 0 K	-84.0	kJ/mol of formula units
# DFT total energy	-4.044	eV per atom
data_HgGePd2
_symmetry_space_group_name_H-M 'P 1'
_symmetry_Int_Tables_number 1
_symmetry_space_group_name_Hall 'P 1'
_cell_length_a 4.086
_cell_length_b 4.086
_cell_length_c 5.718
_cell_angle_alpha 69.06
_cell_angle_beta 69.06
_cell_angle_gamma 60.00
loop_
_atom_site_label
_atom_site_type_symbol
_atom_site_fract_x
_atom_site_fract_y
_atom_site_fract_z
Pd1 Pd 0.058 0.058 0.825
Pd2 Pd 0.275 0.275 0.174
Ge1 Ge 0.672 0.672 0.985
Hg1 Hg 0.495 0.495 0.516

2.
# TiTe3C | the Alexandria database | PBE | relaxed
# E above lowest polymorph	0.000	eV per atom
# ρ	6.95	g/cm3
# E_form (uncorrected)	0.89	eV per atom
# DFT total energy	-4.424	eV per atom
data_TiTe3C
_symmetry_space_group_name_H-M 'P 1'
_symmetry_Int_Tables_number 1
_symmetry_space_group_name_Hall 'P 1'
_cell_length_a 4.728
_cell_length_b 4.728
_cell_length_c 4.728
_cell_angle_alpha 90.00
_cell_angle_beta 90.00
_cell_angle_gamma 90.00
loop_
_atom_site_label
_atom_site_type_symbol
_atom_site_fract_x
_atom_site_fract_y
_atom_site_fract_z
Ti1 Ti 0.500 0.500 0.500
Te1 Te 0.000 0.500 0.000
Te2 Te 0.500 0.000 0.000
Te3 Te 0.000 0.000 0.500
C1 C 0.000 0.000 0.000

3.
# Li2RhBr | the Alexandria database | PBE | relaxed
# E above lowest polymorph	0.000	eV per atom
# ρ	5.32	g/cm3
# E_form (uncorrected)	-0.39	eV per atom
# DFT total energy	-3.603	eV per atom
data_Li2RhBr
_symmetry_space_group_name_H-M 'P 1'
_symmetry_Int_Tables_number 1
_symmetry_space_group_name_Hall 'P 1'
_cell_length_a 3.351
_cell_length_b 3.362
_cell_length_c 6.395
_cell_angle_alpha 58.39
_cell_angle_beta 90.00
_cell_angle_gamma 90.00
loop_
_atom_site_label
_atom_site_type_symbol
_atom_site_fract_x
_atom_site_fract_y
_atom_site_fract_z
Rh1 Rh 0.500 0.250 0.250
Li1 Li 0.000 0.515 0.485
Li2 Li 0.000 0.985 0.015
Br1 Br 0.500 0.750 0.750

4.
# Np3TaP4 | the Alexandria database | PBE | relaxed
# ρ	10.57	g/cm3
# formation enthalpy at 0 K	-631.9	kJ/mol of formula units
# DFT total energy	-9.858	eV per atom
data_Np3TaP4
_symmetry_space_group_name_H-M 'P 1'
_symmetry_Int_Tables_number 1
_symmetry_space_group_name_Hall 'P 1'
_cell_length_a 6.690
_cell_length_b 6.620
_cell_length_c 7.663
_cell_angle_alpha 90.00
_cell_angle_beta 90.00
_cell_angle_gamma 109.85
loop_
_atom_site_label
_atom_site_type_symbol
_atom_site_fract_x
_atom_site_fract_y
_atom_site_fract_z
Np1 Np 0.750 0.500 0.123
Np2 Np 0.250 0.000 0.629
Np3 Np 0.750 0.500 0.629
Np4 Np 0.250 0.500 0.371
Np5 Np 0.250 0.500 0.877
Np6 Np 0.750 0.000 0.371
P1 P 0.502 0.769 0.114
P2 P 0.509 0.760 0.633
P3 P 0.002 0.769 0.886
P4 P 0.998 0.231 0.114
P5 P 0.991 0.240 0.633
P6 P 0.498 0.231 0.886
P7 P 0.009 0.760 0.367
P8 P 0.491 0.240 0.367
Ta1 Ta 0.750 0.000 0.872
Ta2 Ta 0.250 0.000 0.128

5.
# GaPHPtS | the Alexandria database | PBE | relaxed
# E above lowest polymorph	0.211	eV per atom
# ρ	6.56	g/cm3
# DFT total energy	-4.508	eV per atom
data_GaPHPtS
_symmetry_space_group_name_H-M 'P 1'
_symmetry_Int_Tables_number 1
_symmetry_space_group_name_Hall 'P 1'
_cell_length_a 3.546
_cell_length_b 4.738
_cell_length_c 5.225
_cell_angle_alpha 98.45
_cell_angle_beta 96.69
_cell_angle_gamma 103.94
loop_
_atom_site_label
_atom_site_type_symbol
_atom_site_fract_x
_atom_site_fract_y
_atom_site_fract_z
Ga1 Ga 0.871 0.771 0.872
H1 H 0.563 0.211 0.432
Pt1 Pt 0.683 0.493 0.279
P1 P 0.078 0.311 0.009
S1 S 0.343 0.818 0.543

6.
# Cs12Sr3F5 | the Alexandria database | PBE | relaxed
# ρ	2.64	g/cm3
# E_form (uncorrected)	-1.11	eV per atom
# DFT total energy	-2.339	eV per atom
data_Cs12Sr3F5
_symmetry_space_group_name_H-M 'P 1'
_symmetry_Int_Tables_number 1
_symmetry_space_group_name_Hall 'P 1'
_cell_length_a 18.549
_cell_length_b 18.549
_cell_length_c 18.549
_cell_angle_alpha 109.47
_cell_angle_beta 109.47
_cell_angle_gamma 109.47
loop_
_atom_site_label
_atom_site_type_symbol
_atom_site_fract_x
_atom_site_fract_y
_atom_site_fract_z
F1 F 0.875 0.250 0.625
F2 F 0.500 0.000 0.000
F3 F 0.750 0.625 0.375
F4 F 0.875 0.625 0.750
F5 F 0.500 0.500 0.000
F6 F 0.375 0.125 0.750
F7 F 0.250 0.375 0.625
F8 F 0.375 0.250 0.125
F9 F 0.000 0.000 0.500
F10 F 0.500 0.000 0.500
F11 F 0.125 0.750 0.375
F12 F 0.000 0.500 0.000
F13 F 0.500 0.500 0.500
F14 F 0.125 0.375 0.250
F15 F 0.000 0.000 0.000
F16 F 0.250 0.875 0.125
F17 F 0.750 0.125 0.875
F18 F 0.625 0.875 0.250
F19 F 0.625 0.750 0.875
F20 F 0.000 0.500 0.500
Cs1 Cs 0.675 0.094 0.983
Cs2 Cs 0.094 0.419 0.111
Cs3 Cs 0.919 0.111 0.594
Cs4 Cs 0.193 0.111 0.017
Cs5 Cs 0.389 0.983 0.307
Cs6 Cs 0.389 0.406 0.581
Cs7 Cs 0.419 0.094 0.611
Cs8 Cs 0.594 0.983 0.175
Cs9 Cs 0.906 0.581 0.889
Cs10 Cs 0.111 0.919 0.094
Cs11 Cs 0.081 0.193 0.175
Cs12 Cs 0.406 0.389 0.081
Cs13 Cs 0.889 0.081 0.906
Cs14 Cs 0.483 0.175 0.094
Cs15 Cs 0.307 0.825 0.419
Cs16 Cs 0.919 0.807 0.825
Cs17 Cs 0.325 0.906 0.017
Cs18 Cs 0.611 0.017 0.693
Cs19 Cs 0.807 0.889 0.983
Cs20 Cs 0.081 0.889 0.406
Cs21 Cs 0.693 0.175 0.581
Cs22 Cs 0.889 0.807 0.483
Cs23 Cs 0.807 0.919 0.325
Cs24 Cs 0.906 0.325 0.517
Cs25 Cs 0.325 0.419 0.807
Cs26 Cs 0.017 0.611 0.193
Cs27 Cs 0.307 0.483 0.389
Cs28 Cs 0.581 0.675 0.693
Cs29 Cs 0.594 0.611 0.919
Cs30 Cs 0.675 0.581 0.193
Cs31 Cs 0.611 0.594 0.419
Cs32 Cs 0.193 0.081 0.675
Cs33 Cs 0.517 0.693 0.111
Cs34 Cs 0.825 0.517 0.406
Cs35 Cs 0.175 0.483 0.594
Cs36 Cs 0.419 0.325 0.307
Cs37 Cs 0.983 0.389 0.807
Cs38 Cs 0.094 0.675 0.483
Cs39 Cs 0.517 0.825 0.906
Cs40 Cs 0.825 0.307 0.919
Cs41 Cs 0.983 0.594 0.675
Cs42 Cs 0.175 0.693 0.081
Cs43 Cs 0.693 0.517 0.611
Cs44 Cs 0.017 0.406 0.325
Cs45 Cs 0.483 0.307 0.889
Cs46 Cs 0.406 0.017 0.825
Cs47 Cs 0.111 0.193 0.517
Cs48 Cs 0.581 0.906 0.389
Sr1 Sr 0.750 0.375 0.125
Sr2 Sr 0.250 0.625 0.875
Sr3 Sr 0.625 0.375 0.750
Sr4 Sr 0.750 0.875 0.625
Sr5 Sr 0.875 0.125 0.250
Sr6 Sr 0.625 0.250 0.375
Sr7 Sr 0.250 0.125 0.375
Sr8 Sr 0.125 0.875 0.750
Sr9 Sr 0.375 0.625 0.250
Sr10 Sr 0.125 0.250 0.875
Sr11 Sr 0.875 0.750 0.125
Sr12 Sr 0.375 0.750 0.625

7.
# V2HI | the Alexandria database | PBE | relaxed
# E above lowest polymorph	0.000	eV per atom
# ρ	5.90	g/cm3
# DFT total energy	-5.421	eV per atom
data_V2HI
_symmetry_space_group_name_H-M 'P 1'
_symmetry_Int_Tables_number 1
_symmetry_space_group_name_Hall 'P 1'
_cell_length_a 3.269
_cell_length_b 3.269
_cell_length_c 7.236
_cell_angle_alpha 76.95
_cell_angle_beta 76.95
_cell_angle_gamma 60.00
loop_
_atom_site_label
_atom_site_type_symbol
_atom_site_fract_x
_atom_site_fract_y
_atom_site_fract_z
H1 H 0.500 0.500 0.500
V1 V 0.129 0.129 0.612
V2 V 0.871 0.871 0.388
I1 I 0.000 0.000 0.000

8.
# Tl3ZnCd | the Alexandria database | PBE | relaxed
# E above lowest polymorph	0.000	eV per atom
# ρ	8.29	g/cm3
# formation enthalpy at 0 K	114.7	kJ/mol of formula units
# DFT total energy	-1.620	eV per atom
data_Tl3ZnCd
_symmetry_space_group_name_H-M 'P 1'
_symmetry_Int_Tables_number 1
_symmetry_space_group_name_Hall 'P 1'
_cell_length_a 5.412
_cell_length_b 5.412
_cell_length_c 5.412
_cell_angle_alpha 90.00
_cell_angle_beta 90.00
_cell_angle_gamma 90.00
loop_
_atom_site_label
_atom_site_type_symbol
_atom_site_fract_x
_atom_site_fract_y
_atom_site_fract_z
Zn1 Zn 0.000 0.000 0.000
Cd1 Cd 0.500 0.500 0.500
Tl1 Tl 0.000 0.000 0.500
Tl2 Tl 0.000 0.500 0.000
Tl3 Tl 0.500 0.000 0.000

9.
# Li2CrCl | the Alexandria database | PBE | relaxed
# E above lowest polymorph	0.077	eV per atom
# ρ	2.12	g/cm3
# E_form (uncorrected)	-0.26	eV per atom
# DFT total energy	-4.088	eV per atom
data_Li2CrCl
_symmetry_space_group_name_H-M 'P 1'
_symmetry_Int_Tables_number 1
_symmetry_space_group_name_Hall 'P 1'
_cell_length_a 8.069
_cell_length_b 8.069
_cell_length_c 8.069
_cell_angle_alpha 157.43
_cell_angle_beta 156.79
_cell_angle_gamma 32.60
loop_
_atom_site_label
_atom_site_type_symbol
_atom_site_fract_x
_atom_site_fract_y
_atom_site_fract_z
Li1 Li 0.673 0.173 0.500
Li2 Li 0.978 0.978 0.000
Cr1 Cr 0.304 0.804 0.500
Cl1 Cl 0.546 0.546 0.000

10.
# TlBIN2 | the Alexandria database | PBE | relaxed
# E above lowest polymorph	0.488	eV per atom
# ρ	4.51	g/cm3
# E_form (uncorrected)	2.45	eV per atom
# DFT total energy	-2.999	eV per atom
data_TlBIN2
_symmetry_space_group_name_H-M 'P 1'
_symmetry_Int_Tables_number 1
_symmetry_space_group_name_Hall 'P 1'
_cell_length_a 4.232
_cell_length_b 4.232
_cell_length_c 7.607
_cell_angle_alpha 90.00
_cell_angle_beta 90.00
_cell_angle_gamma 90.00
loop_
_atom_site_label
_atom_site_type_symbol
_atom_site_fract_x
_atom_site_fract_y
_atom_site_fract_z
B1 B 0.500 0.500 0.500
N1 N 0.500 0.000 0.000
N2 N 0.000 0.500 0.000
Tl1 Tl 0.000 0.000 0.000
I1 I 0.000 0.000 0.500

11.
# Tl2GeAuS4 | the Alexandria database | PBE | relaxed
# ρ	6.51	g/cm3
# E_form (uncorrected)	-0.24	eV per atom
# DFT total energy	-3.882	eV per atom
data_Tl2GeAuS4
_symmetry_space_group_name_H-M 'P 1'
_symmetry_Int_Tables_number 1
_symmetry_space_group_name_Hall 'P 1'
_cell_length_a 7.317
_cell_length_b 7.312
_cell_length_c 6.444
_cell_angle_alpha 124.57
_cell_angle_beta 124.59
_cell_angle_gamma 90.00
loop_
_atom_site_label
_atom_site_type_symbol
_atom_site_fract_x
_atom_site_fract_y
_atom_site_fract_z
S1 S 0.046 0.104 0.784
S2 S 0.368 0.735 0.161
S3 S 0.737 0.679 0.783
S4 S 0.793 0.426 0.161
Au1 Au 0.985 0.485 0.970
Tl1 Tl 0.486 0.986 0.971
Tl2 Tl 0.236 0.236 0.472
Ge1 Ge 0.736 0.736 0.472

12.
# CsMnInCl6 | the Alexandria database | PBE | relaxed
# ρ	2.83	g/cm3
# E_form (uncorrected)	-1.34	eV per atom
# DFT total energy	-3.990	eV per atom
data_CsMnInCl6
_symmetry_space_group_name_H-M 'P 1'
_symmetry_Int_Tables_number 1
_symmetry_space_group_name_Hall 'P 1'
_cell_length_a 6.683
_cell_length_b 6.683
_cell_length_c 7.832
_cell_angle_alpha 90.00
_cell_angle_beta 90.00
_cell_angle_gamma 60.00
loop_
_atom_site_label
_atom_site_type_symbol
_atom_site_fract_x
_atom_site_fract_y
_atom_site_fract_z
Mn1 Mn 0.667 0.667 0.500
Cl1 Cl 0.999 0.377 0.313
Cl2 Cl 0.624 0.999 0.313
Cl3 Cl 0.624 0.377 0.687
Cl4 Cl 0.999 0.624 0.687
Cl5 Cl 0.377 0.624 0.313
Cl6 Cl 0.377 0.999 0.687
In1 In 0.333 0.333 0.500
Cs1 Cs 0.000 0.000 0.000